(1)
# LaTb7Sm12, relaxed, DFT PBE
data_LaTb7Sm12
_chemical_formula_sum 'La1 Tb7 Sm12'
_cell_length_a 8.856
_cell_length_b 8.856
_cell_length_c 8.856
_cell_angle_alpha 98.48
_cell_angle_beta 98.48
_cell_angle_gamma 98.48
_symmetry_space_group_name_H-M 'P 1'
_symmetry_Int_Tables_number 1
loop_
_symmetry_equiv_pos_as_xyz
'x,y,z'
loop_
_atom_site_label
_atom_site_fract_x
_atom_site_fract_y
_atom_site_fract_z
La1 0.000 0.000 0.000
Tb1 0.097 0.657 0.097
Tb2 0.343 0.903 0.903
Tb3 0.903 0.903 0.343
Tb4 0.500 0.500 0.500
Tb5 0.097 0.097 0.657
Tb6 0.657 0.097 0.097
Tb7 0.903 0.343 0.903
Sm1 0.762 0.238 0.500
Sm2 0.762 0.500 0.238
Sm3 0.358 0.090 0.358
Sm4 0.910 0.642 0.642
Sm5 0.500 0.238 0.762
Sm6 0.642 0.642 0.910
Sm7 0.358 0.358 0.090
Sm8 0.500 0.762 0.238
Sm9 0.090 0.358 0.358
Sm10 0.642 0.910 0.642
Sm11 0.238 0.500 0.762
Sm12 0.238 0.762 0.500
# - Calculated density: 7.58 g/cm3
# - Electronic total energy: -4.60 eV/atom
# - Calculated formation energy: 0.10 eV/atom

(2)
# Ce4Sb8Au3, relaxed, DFT PBE
data_Ce4Sb8Au3
_chemical_formula_sum 'Ce4 Sb8 Au3'
_cell_length_a 4.451
_cell_length_b 4.451
_cell_length_c 19.820
_cell_angle_alpha 90.00
_cell_angle_beta 90.00
_cell_angle_gamma 90.00
_symmetry_space_group_name_H-M 'P 1'
_symmetry_Int_Tables_number 1
loop_
_symmetry_equiv_pos_as_xyz
'x,y,z'
loop_
_atom_site_label
_atom_site_fract_x
_atom_site_fract_y
_atom_site_fract_z
Ce1 0.500 0.000 0.371
Ce2 0.500 0.000 0.881
Ce3 0.000 0.500 0.119
Ce4 0.000 0.500 0.629
Sb1 0.500 0.000 0.083
Sb2 0.500 0.000 0.595
Sb3 0.000 0.500 0.405
Sb4 0.000 0.500 0.917
Sb5 0.500 0.500 0.245
Sb6 0.500 0.500 0.755
Sb7 0.000 0.000 0.245
Sb8 0.000 0.000 0.755
Au1 0.500 0.500 0.500
Au2 0.000 0.000 0.000
Au3 0.000 0.000 0.500
# - Formation energy from raw total energies: -70.8 kJ per mole of atoms
# - Calculated density: 8.99 g/cm3
# - Electronic total energy: -5.17 eV/atom

(3)
# Eu2PuBi, relaxed, DFT PBE
data_Eu2PuBi
_chemical_formula_sum 'Eu2 Pu1 Bi1'
_cell_length_a 5.066
_cell_length_b 5.015
_cell_length_c 5.015
_cell_angle_alpha 90.00
_cell_angle_beta 90.00
_cell_angle_gamma 90.00
_symmetry_space_group_name_H-M 'P 1'
_symmetry_Int_Tables_number 1
loop_
_symmetry_equiv_pos_as_xyz
'x,y,z'
loop_
_atom_site_label
_atom_site_fract_x
_atom_site_fract_y
_atom_site_fract_z
Eu1 0.000 0.000 0.500
Eu2 0.000 0.500 0.000
Bi1 0.500 0.000 0.000
Pu1 0.500 0.500 0.500
# - Calculated density: 9.87 g/cm3
# - Electronic total energy: -9.89 eV/atom
# - Calculated formation energy: -0.20 eV/atom

(4)
# Cd4Cl, relaxed, DFT PBE
data_Cd4Cl
_chemical_formula_sum 'Cd4 Cl1'
_cell_length_a 5.520
_cell_length_b 5.520
_cell_length_c 5.520
_cell_angle_alpha 105.66
_cell_angle_beta 105.66
_cell_angle_gamma 117.40
_symmetry_space_group_name_H-M 'P 1'
_symmetry_Int_Tables_number 1
loop_
_symmetry_equiv_pos_as_xyz
'x,y,z'
loop_
_atom_site_label
_atom_site_fract_x
_atom_site_fract_y
_atom_site_fract_z
Cd1 0.199 0.604 0.803
Cd2 0.604 0.801 0.404
Cd3 0.801 0.396 0.197
Cd4 0.396 0.199 0.596
Cl1 0.000 0.000 0.000
# - Formation energy from raw total energies: -11.4 kJ per mole of atoms
# - Calculated density: 6.31 g/cm3
# - Electronic total energy: -1.22 eV/atom

Which formula does entry 3 have? Eu2PuBi